Entry 1:
# NiPS3

NiPS3 after structural relaxation (PBE-GGA, Alexandria).

E above lowest polymorph	0.0	meV/atom
total moment	1.885	μB per formula unit
VASP energy	-4.921	eV per atom

Cell and atoms, written as CIF:
```
data_NiPS3
_symmetry_space_group_name_H-M 'C 1 2/m 1'
_symmetry_Int_Tables_number 12
_cell_length_a 5.827
_cell_length_b 10.091
_cell_length_c 7.292
_cell_angle_alpha 90.00
_cell_angle_beta 105.61
_cell_angle_gamma 90.00
loop_
_symmetry_equiv_pos_as_xyz
'x,y,z'
'-x,-y,-z'
'-x,y,-z'
'x,-y,z'
'x+1/2,y+1/2,z'
'-x+1/2,-y+1/2,-z'
'-x+1/2,y+1/2,-z'
'x+1/2,-y+1/2,z'
loop_
_atom_site_label
_atom_site_fract_x
_atom_site_fract_y
_atom_site_fract_z
Ni1 0.000 0.167 0.000
P1 0.052 0.500 0.155
S1 0.228 0.000 0.217
S2 0.245 0.328 0.217
```


Entry 2:
# NiPS3

NiPS3 after structural relaxation (PBE-GGA, Alexandria).

E above lowest polymorph	919.9	meV/atom
total moment	0.000	μB per formula unit
VASP energy	-4.001	eV per atom

Cell and atoms, written as CIF:
```
data_NiPS3
_symmetry_space_group_name_H-M 'P m -3 m'
_symmetry_Int_Tables_number 221
_symmetry_space_group_name_Hall '-P 4 2 3'
_cell_length_a 4.372
_cell_length_b 4.372
_cell_length_c 4.372
_cell_angle_alpha 90.00
_cell_angle_beta 90.00
_cell_angle_gamma 90.00
loop_
_atom_site_label
_atom_site_fract_x
_atom_site_fract_y
_atom_site_fract_z
Ni1 0.000 0.000 0.000
P1 0.500 0.500 0.500
S1 0.000 0.000 0.500
```


Entry 3:
# NiPS3

NiPS3 after structural relaxation (PBE-GGA, Alexandria).

E above lowest polymorph	1031.9	meV/atom
total moment	1.783	μB per formula unit
VASP energy	-3.889	eV per atom

Cell and atoms, written as CIF:
```
data_NiPS3
_symmetry_space_group_name_H-M 'P m -3 m'
_symmetry_Int_Tables_number 221
_symmetry_space_group_name_Hall '-P 4 2 3'
_cell_length_a 4.430
_cell_length_b 4.430
_cell_length_c 4.430
_cell_angle_alpha 90.00
_cell_angle_beta 90.00
_cell_angle_gamma 90.00
loop_
_atom_site_label
_atom_site_fract_x
_atom_site_fract_y
_atom_site_fract_z
Ni1 0.000 0.000 0.000
P1 0.500 0.500 0.500
S1 0.000 0.500 0.500
```


Entry 4:
# NiPS4

NiPS4 after structural relaxation (PBE-GGA, Alexandria).

total moment	0.000	μB per formula unit
VASP energy	-4.781	eV per atom

Cell and atoms, written as CIF:
```
data_NiPS4
_symmetry_space_group_name_H-M 'C 1 2/m 1'
_symmetry_Int_Tables_number 12
_cell_length_a 13.971
_cell_length_b 3.256
_cell_length_c 5.612
_cell_angle_alpha 90.00
_cell_angle_beta 112.08
_cell_angle_gamma 90.00
loop_
_symmetry_equiv_pos_as_xyz
'x,y,z'
'-x,-y,-z'
'-x,y,-z'
'x,-y,z'
'x+1/2,y+1/2,z'
'-x+1/2,-y+1/2,-z'
'-x+1/2,y+1/2,-z'
'x+1/2,-y+1/2,z'
loop_
_atom_site_label
_atom_site_fract_x
_atom_site_fract_y
_atom_site_fract_z
Ni1 0.000 0.000 0.000
P1 0.000 0.500 0.500
S1 0.098 0.500 0.267
S2 0.102 0.000 0.762
```


Entry 5:
# NiPS

NiPS after structural relaxation (PBE-GGA, Alexandria).

total moment	0.000	μB per formula unit
VASP energy	-5.322	eV per atom

Cell and atoms, written as CIF:
```
data_NiPS
_symmetry_space_group_name_H-M 'P 1 c 1'
_symmetry_Int_Tables_number 7
_cell_length_a 3.909
_cell_length_b 5.647
_cell_length_c 5.587
_cell_angle_alpha 90.00
_cell_angle_beta 132.80
_cell_angle_gamma 90.00
loop_
_symmetry_equiv_pos_as_xyz
'x,y,z'
'x,-y,z+1/2'
loop_
_atom_site_label
_atom_site_fract_x
_atom_site_fract_y
_atom_site_fract_z
Ni1 0.000 0.238 0.000
P1 0.272 0.106 0.771
S1 0.271 0.375 0.509
```


Entry 6:
# NiPS

NiPS after structural relaxation (PBE-GGA, Alexandria).

total moment	0.000	μB per formula unit
VASP energy	-5.464	eV per atom

Cell and atoms, written as CIF:
```
data_NiPS
_symmetry_space_group_name_H-M 'P 21 3'
_symmetry_Int_Tables_number 198
_symmetry_space_group_name_Hall 'P 2ac 2ab 3'
_cell_length_a 5.548
_cell_length_b 5.548
_cell_length_c 5.548
_cell_angle_alpha 90.00
_cell_angle_beta 90.00
_cell_angle_gamma 90.00
loop_
_atom_site_label
_atom_site_fract_x
_atom_site_fract_y
_atom_site_fract_z
Ni1 0.005 0.005 0.005
P1 0.112 0.888 0.388
S1 0.112 0.612 0.888
```


Entry 7:
# NiPS3

NiPS3 after structural relaxation (PBE-GGA, Alexandria).

E above lowest polymorph	120.6	meV/atom
total moment	0.000	μB per formula unit
VASP energy	-4.800	eV per atom

Cell and atoms, written as CIF:
```
data_NiPS3
_symmetry_space_group_name_H-M 'P 1 21/m 1'
_symmetry_Int_Tables_number 11
_cell_length_a 6.223
_cell_length_b 3.377
_cell_length_c 10.865
_cell_angle_alpha 90.00
_cell_angle_beta 97.69
_cell_angle_gamma 90.00
loop_
_symmetry_equiv_pos_as_xyz
'x,y,z'
'-x,-y,-z'
'-x,y+1/2,-z'
'x,-y+1/2,z'
loop_
_atom_site_label
_atom_site_fract_x
_atom_site_fract_y
_atom_site_fract_z
Ni1 0.180 0.250 0.194
P1 0.300 0.250 0.715
S1 0.055 0.250 0.831
S2 0.271 0.750 0.591
S3 0.403 0.750 0.168
```


Entry 8:
# NiPS4

NiPS4 after structural relaxation (PBE-GGA, Alexandria).

total moment	0.829	μB per formula unit
VASP energy	-4.709	eV per atom

Cell and atoms, written as CIF:
```
data_NiPS4
_symmetry_space_group_name_H-M 'I -4'
_symmetry_Int_Tables_number 82
_cell_length_a 5.962
_cell_length_b 5.962
_cell_length_c 7.413
_cell_angle_alpha 90.00
_cell_angle_beta 90.00
_cell_angle_gamma 90.00
loop_
_symmetry_equiv_pos_as_xyz
'x,y,z'
'y,-x,-z'
'-x,-y,z'
'-y,x,-z'
'x+1/2,y+1/2,z+1/2'
'y+1/2,-x+1/2,-z+1/2'
'-x+1/2,-y+1/2,z+1/2'
'-y+1/2,x+1/2,-z+1/2'
loop_
_atom_site_label
_atom_site_fract_x
_atom_site_fract_y
_atom_site_fract_z
Ni1 0.000 0.000 0.000
P1 0.000 0.500 0.750
S1 0.198 0.281 0.896
```


Entry 9:
# ScNiP2S

ScNiP2S after structural relaxation (PBE-GGA, Alexandria).

E above lowest polymorph	0.0	meV/atom
total moment	0.000	μB per formula unit
VASP energy	-5.498	eV per atom

Cell and atoms, written as CIF:
```
data_ScNiP2S
_symmetry_space_group_name_H-M 'P 4/m m m'
_symmetry_Int_Tables_number 123
_symmetry_space_group_name_Hall '-P 4 2'
_cell_length_a 4.309
_cell_length_b 4.309
_cell_length_c 4.729
_cell_angle_alpha 90.00
_cell_angle_beta 90.00
_cell_angle_gamma 90.00
loop_
_atom_site_label
_atom_site_fract_x
_atom_site_fract_y
_atom_site_fract_z
Sc1 0.000 0.000 0.000
Ni1 0.500 0.500 0.500
P1 0.000 0.500 0.500
S1 0.500 0.500 0.000
```


Entry 10:
# ScNiP2S

ScNiP2S after structural relaxation (PBE-GGA, Alexandria).

E above lowest polymorph	771.2	meV/atom
total moment	0.686	μB per formula unit
VASP energy	-4.727	eV per atom

Cell and atoms, written as CIF:
```
data_ScNiP2S
_symmetry_space_group_name_H-M 'P 4/m m m'
_symmetry_Int_Tables_number 123
_symmetry_space_group_name_Hall '-P 4 2'
_cell_length_a 4.908
_cell_length_b 4.908
_cell_length_c 4.789
_cell_angle_alpha 90.00
_cell_angle_beta 90.00
_cell_angle_gamma 90.00
loop_
_atom_site_label
_atom_site_fract_x
_atom_site_fract_y
_atom_site_fract_z
Sc1 0.000 0.000 0.000
Ni1 0.500 0.500 0.500
P1 0.000 0.500 0.000
S1 0.000 0.000 0.500
```


Entry 11:
# NiPSeS

NiPSeS after structural relaxation (PBE-GGA, Alexandria).

E above lowest polymorph	129.8	meV/atom
total moment	0.000	μB per formula unit
VASP energy	-4.732	eV per atom

Cell and atoms, written as CIF:
```
data_NiPSeS
_symmetry_space_group_name_H-M 'C 1 m 1'
_symmetry_Int_Tables_number 8
_cell_length_a 17.093
_cell_length_b 3.321
_cell_length_c 2.601
_cell_angle_alpha 90.00
_cell_angle_beta 90.17
_cell_angle_gamma 90.00
loop_
_symmetry_equiv_pos_as_xyz
'x,y,z'
'x,-y,z'
'x+1/2,y+1/2,z'
'x+1/2,-y+1/2,z'
loop_
_atom_site_label
_atom_site_fract_x
_atom_site_fract_y
_atom_site_fract_z
Ni1 0.000 0.000 0.000
P1 0.058 0.500 0.501
Se1 0.386 0.000 0.998
S1 0.177 0.500 0.504
```


Entry 12:
# NiPSeS

NiPSeS after structural relaxation (PBE-GGA, Alexandria).

E above lowest polymorph	10.3	meV/atom
total moment	0.000	μB per formula unit
VASP energy	-4.852	eV per atom

Cell and atoms, written as CIF:
```
data_NiPSeS
_symmetry_space_group_name_H-M 'P 1'
_symmetry_Int_Tables_number 1
_cell_length_a 3.057
_cell_length_b 3.525
_cell_length_c 8.019
_cell_angle_alpha 100.19
_cell_angle_beta 96.37
_cell_angle_gamma 106.31
loop_
_symmetry_equiv_pos_as_xyz
'x,y,z'
loop_
_atom_site_label
_atom_site_fract_x
_atom_site_fract_y
_atom_site_fract_z
Ni1 0.000 0.000 0.000
P1 0.160 0.607 0.173
Se1 0.587 0.309 0.831
S1 0.742 0.692 0.365
```


Entry 13:
# NiPSeS

NiPSeS after structural relaxation (PBE-GGA, Alexandria).

E above lowest polymorph	35.6	meV/atom
total moment	0.000	μB per formula unit
VASP energy	-4.827	eV per atom

Cell and atoms, written as CIF:
```
data_NiPSeS
_symmetry_space_group_name_H-M 'C 1 m 1'
_symmetry_Int_Tables_number 8
_cell_length_a 16.607
_cell_length_b 3.034
_cell_length_c 3.238
_cell_angle_alpha 90.00
_cell_angle_beta 90.63
_cell_angle_gamma 90.00
loop_
_symmetry_equiv_pos_as_xyz
'x,y,z'
'x,-y,z'
'x+1/2,y+1/2,z'
'x+1/2,-y+1/2,z'
loop_
_atom_site_label
_atom_site_fract_x
_atom_site_fract_y
_atom_site_fract_z
Ni1 0.000 0.000 0.000
P1 0.088 0.000 0.505
Se1 0.393 0.000 0.995
S1 0.177 0.500 0.510
```


Entry 14:
# NiPSeS

NiPSeS after structural relaxation (PBE-GGA, Alexandria).

E above lowest polymorph	123.3	meV/atom
total moment	0.000	μB per formula unit
VASP energy	-4.739	eV per atom

Cell and atoms, written as CIF:
```
data_NiPSeS
_symmetry_space_group_name_H-M 'R 3 m'
_symmetry_Int_Tables_number 160
_symmetry_space_group_name_Hall 'R 3 -2"'
_cell_length_a 3.3471
_cell_length_b 3.3471
_cell_length_c 24.1332
_cell_angle_alpha 90.00
_cell_angle_beta 90.00
_cell_angle_gamma 120.00
loop_
_atom_site_label
_atom_site_fract_x
_atom_site_fract_y
_atom_site_fract_z
Ni1 0.0000 0.0000 0.0000
P1 0.0000 0.0000 0.6170
Se1 0.0000 0.0000 0.7306
S1 0.0000 0.0000 0.5368
```


Entry 15:
# NiPSeS2

NiPSeS2 after structural relaxation (PBE-GGA, Alexandria).

E above lowest polymorph	0.0	meV/atom
total moment	0.000	μB per formula unit
VASP energy	-3.985	eV per atom

Cell and atoms, written as CIF:
```
data_NiPSeS2
_symmetry_space_group_name_H-M 'P 4/m m m'
_symmetry_Int_Tables_number 123
_symmetry_space_group_name_Hall '-P 4 2'
_cell_length_a 4.477
_cell_length_b 4.477
_cell_length_c 4.363
_cell_angle_alpha 90.00
_cell_angle_beta 90.00
_cell_angle_gamma 90.00
loop_
_atom_site_label
_atom_site_fract_x
_atom_site_fract_y
_atom_site_fract_z
Ni1 0.000 0.000 0.000
P1 0.000 0.000 0.500
Se1 0.500 0.500 0.500
S1 0.000 0.500 0.000
```


Entry 16:
# NiPSeS

NiPSeS after structural relaxation (PBE-GGA, Alexandria).

E above lowest polymorph	114.7	meV/atom
total moment	0.000	μB per formula unit
VASP energy	-4.747	eV per atom

Cell and atoms, written as CIF:
```
data_NiPSeS
_symmetry_space_group_name_H-M 'P 1'
_symmetry_Int_Tables_number 1
_cell_length_a 3.031
_cell_length_b 4.007
_cell_length_c 7.455
_cell_angle_alpha 98.73
_cell_angle_beta 90.17
_cell_angle_gamma 112.00
loop_
_symmetry_equiv_pos_as_xyz
'x,y,z'
loop_
_atom_site_label
_atom_site_fract_x
_atom_site_fract_y
_atom_site_fract_z
Ni1 0.000 0.000 0.000
P1 0.277 0.551 0.923
Se1 0.041 0.079 0.304
S1 0.818 0.637 0.723
```


Entry 17:
# NiPSeS

NiPSeS after structural relaxation (PBE-GGA, Alexandria).

E above lowest polymorph	0.0	meV/atom
total moment	0.000	μB per formula unit
VASP energy	-4.862	eV per atom

Cell and atoms, written as CIF:
```
data_NiPSeS
_symmetry_space_group_name_H-M 'P 1'
_symmetry_Int_Tables_number 1
_cell_length_a 3.750
_cell_length_b 3.890
_cell_length_c 6.458
_cell_angle_alpha 80.56
_cell_angle_beta 79.59
_cell_angle_gamma 68.54
loop_
_symmetry_equiv_pos_as_xyz
'x,y,z'
loop_
_atom_site_label
_atom_site_fract_x
_atom_site_fract_y
_atom_site_fract_z
Ni1 0.000 0.000 0.000
P1 0.401 0.312 0.939
Se1 0.942 0.439 0.235
S1 0.265 0.738 0.703
```


Entry 18:
# NiPSeS

NiPSeS after structural relaxation (PBE-GGA, Alexandria).

E above lowest polymorph	88.4	meV/atom
total moment	0.000	μB per formula unit
VASP energy	-4.774	eV per atom

Cell and atoms, written as CIF:
```
data_NiPSeS
_symmetry_space_group_name_H-M 'C 1 m 1'
_symmetry_Int_Tables_number 8
_cell_length_a 6.445
_cell_length_b 3.226
_cell_length_c 7.515
_cell_angle_alpha 90.00
_cell_angle_beta 110.92
_cell_angle_gamma 90.00
loop_
_symmetry_equiv_pos_as_xyz
'x,y,z'
'x,-y,z'
'x+1/2,y+1/2,z'
'x+1/2,-y+1/2,z'
loop_
_atom_site_label
_atom_site_fract_x
_atom_site_fract_y
_atom_site_fract_z
Ni1 0.000 0.000 0.000
P1 0.364 0.000 0.180
Se1 0.454 0.500 0.422
S1 0.125 0.500 0.854
```


Entry 19:
# NiP2SeS

NiP2SeS after structural relaxation (PBE-GGA, Alexandria).

E above lowest polymorph	0.0	meV/atom
total moment	0.080	μB per formula unit
VASP energy	-4.208	eV per atom

Cell and atoms, written as CIF:
```
data_NiP2SeS
_symmetry_space_group_name_H-M 'P 4/m m m'
_symmetry_Int_Tables_number 123
_symmetry_space_group_name_Hall '-P 4 2'
_cell_length_a 4.423
_cell_length_b 4.423
_cell_length_c 4.455
_cell_angle_alpha 90.00
_cell_angle_beta 90.00
_cell_angle_gamma 90.00
loop_
_atom_site_label
_atom_site_fract_x
_atom_site_fract_y
_atom_site_fract_z
Ni1 0.000 0.000 0.000
P1 0.000 0.500 0.000
Se1 0.500 0.500 0.500
S1 0.000 0.000 0.500
```


Entry 20:
# NiPSeS

NiPSeS after structural relaxation (PBE-GGA, Alexandria).

E above lowest polymorph	65.5	meV/atom
total moment	0.000	μB per formula unit
VASP energy	-4.797	eV per atom

Cell and atoms, written as CIF:
```
data_NiPSeS
_symmetry_space_group_name_H-M 'P 1'
_symmetry_Int_Tables_number 1
_cell_length_a 3.636
_cell_length_b 4.901
_cell_length_c 6.128
_cell_angle_alpha 101.67
_cell_angle_beta 90.07
_cell_angle_gamma 111.69
loop_
_symmetry_equiv_pos_as_xyz
'x,y,z'
loop_
_atom_site_label
_atom_site_fract_x
_atom_site_fract_y
_atom_site_fract_z
Ni1 0.000 0.000 0.000
P1 0.373 0.744 0.876
Se1 0.483 0.966 0.251
S1 0.146 0.293 0.758
```


Calculated ρ, 3.0; 3.7; 3.5; 3.1; 4.5; 4.7; 2.7; 2.7; 3.7; 2.8; 4.5; 4.1; 4.1; 4.3; 4.4; 4.0; 3.9; 4.6; 4.4; 3.4 Mg/m³ (same order as the records).